Entry 1:
80
Lattice="-10.722 -10.379 2.282 7.151 2.790 12.999 -6.320 12.726 -5.099" Properties=species:S:1:pos:R:3 comment="Ho12Ag5Bi3 PBE-GGA optimized geometry" energy_ev_per_atom=-3.98 e_form_ev_per_atom=0.06 density_g_cm3=7.9 spacegroup="No. 230" dos_ef_per_ev_atom=1.00 crystal_system=cubic pbc="T T T"
Ho 3.228 6.430 10.278
Ho -9.308 7.010 0.842
Ho -4.319 0.941 7.324
Ho -8.284 6.711 4.292
Ho -4.804 8.641 6.780
Ho -9.345 -5.217 5.631
Ho -0.583 -1.873 9.340
Ho -2.329 7.219 4.400
Ho -2.739 1.688 10.604
Ho -7.294 10.615 -3.480
Ho -11.011 4.284 4.989
Ho -2.495 5.459 0.052
Ho -7.702 -3.610 0.915
Ho -5.667 7.588 -2.063
Ho 1.910 0.812 8.716
Ho -5.086 -3.504 3.402
Ho 4.894 3.289 11.359
Ho -5.399 8.747 1.723
Ho -8.763 2.894 8.868
Ho -2.825 11.633 7.193
Ho -2.597 -5.478 13.662
Ho -2.324 3.465 5.685
Ho -5.571 4.196 2.858
Ho -0.509 3.953 8.891
Ho -7.561 -2.082 5.782
Ho -11.800 4.325 1.466
Ho -4.491 -3.610 8.459
Ho 1.121 0.853 5.193
Ho -10.240 -2.522 3.401
Ho -2.188 8.747 9.267
Ho -13.119 -1.293 -0.096
Ho -4.425 0.773 2.962
Ho -7.151 3.449 -0.422
Ho -5.466 4.364 7.220
Ho -7.567 1.672 4.497
Ho -7.065 -6.496 2.989
Ho 0.350 7.659 6.781
Ho -7.178 -6.151 8.821
Ho -0.545 10.355 4.551
Ho -3.587 5.186 10.320
Ho -1.606 -1.574 5.890
Ho -2.712 11.288 1.361
Ho -1.127 2.243 1.314
Ho -6.303 -0.049 -0.138
Ho -4.223 -2.451 12.245
Ho -9.381 1.184 1.291
Ho -14.785 1.848 -1.177
Ho -7.395 -0.322 10.130
Ag -8.521 1.173 -1.408
Ag 2.787 1.437 11.307
Ag -2.024 -0.864 11.525
Ag -3.949 6.405 2.258
Ag -11.543 -0.430 2.060
Ag 0.416 7.758 3.950
Ag -9.652 2.207 6.297
Ag 3.575 1.395 6.499
Ag -0.239 2.930 3.885
Ag -3.160 6.363 -2.549
Ag -7.866 6.001 -1.343
Ag -3.023 -1.604 3.468
Ag 0.000 0.000 0.000
Ag -6.867 6.741 6.714
Ag -5.942 -1.268 7.924
Ag -5.361 -5.189 1.141
Ag 1.653 5.567 8.122
Ag -4.945 2.569 5.091
Ag -1.785 -3.794 7.640
Ag -12.677 3.700 -1.125
Bi -1.131 1.033 7.705
Bi -5.082 10.535 -0.927
Bi -7.283 -1.017 2.764
Bi 0.177 10.688 7.835
Bi -5.734 2.611 9.899
Bi -2.607 6.154 7.418
Bi -10.067 -5.551 2.347
Bi -8.759 4.104 2.477
Bi -3.741 10.284 4.233
Bi -4.808 -5.398 11.108
Bi -4.156 2.526 0.283
Bi -6.150 -5.147 5.949


Entry 2:
4
Lattice="-3.131 4.316 -0.484 -5.298 -0.580 -0.513 -3.250 1.414 4.022" Properties=species:S:1:pos:R:3 comment="HoAgBi2 PBE-GGA optimized geometry" energy_ev_per_atom=-3.97 e_form_ev_per_atom=-0.17 density_g_cm3=10.5 spacegroup="No. 166" dos_ef_per_ev_atom=0.75 crystal_system=trigonal pbc="T T T"
Ho -5.840 2.575 1.513
Ag 0.000 0.000 0.000
Bi -2.920 1.288 0.755
Bi -8.760 3.863 2.270


Entry 3:
12
Lattice="5.565 0.000 0.000 0.000 6.406 0.000 -2.782 0.000 10.284" Properties=species:S:1:pos:R:3 comment="Ho4AgBi PBE-GGA optimized geometry" energy_ev_per_atom=-4.36 e_form_ev_per_atom=-0.18 density_g_cm3=8.8 spacegroup="No. 63" dos_ef_per_ev_atom=1.07 crystal_system=orthorhombic relative_energy_ev_per_atom=0.159 pbc="T T T"
Ho 2.782 0.478 4.237
Ho 0.000 5.266 2.510
Ho 0.000 5.268 9.127
Ho 2.782 3.650 4.238
Ho 2.782 2.063 7.774
Ho 0.000 0.447 6.046
Ho 0.000 3.681 6.046
Ho 2.782 2.065 1.157
Ag 0.000 2.065 8.619
Ag 2.782 5.268 1.665
Bi 0.000 2.064 3.055
Bi 2.782 5.267 7.228


Entry 4:
7
Lattice="-3.001 0.517 -3.424 -3.291 -1.834 2.607 -2.277 8.813 3.326" Properties=species:S:1:pos:R:3 comment="Ho2AgBi4 PBE-GGA optimized geometry" energy_ev_per_atom=-4.36 e_form_ev_per_atom=-0.42 density_g_cm3=10.4 spacegroup="No. 115" dos_ef_per_ev_atom=0.47 crystal_system=tetragonal pbc="T T T"
Bi -1.138 4.406 1.663
Bi -3.528 6.370 4.054
Bi -4.284 3.748 1.255
Bi -1.895 1.785 -1.136
Ag -3.146 -0.659 -0.408
Ho -2.188 1.182 2.096
Ho -3.235 6.972 0.822


Entry 5:
24
Lattice="-9.734 -0.904 1.613 -5.209 -6.887 -4.860 -3.506 -7.897 4.849" Properties=species:S:1:pos:R:3 comment="Ho4AgBi PBE-GGA optimized geometry" energy_ev_per_atom=-4.51 e_form_ev_per_atom=-0.34 density_g_cm3=9.4 spacegroup="No. 216" dos_ef_per_ev_atom=0.87 crystal_system=cubic relative_energy_ev_per_atom=0.000 pbc="T T T"
Ag -4.173 -5.502 2.169
Ag -4.849 -5.100 -1.690
Ag -6.648 -2.722 0.882
Ag -2.779 -2.363 0.241
Ho -12.843 -7.810 -1.761
Ho -15.976 -11.746 -0.313
Ho -11.766 -8.449 4.383
Ho -6.717 -5.711 0.583
Ho -15.339 -12.124 3.319
Ho -8.902 -12.236 0.287
Ho -13.646 -14.362 0.898
Ho -12.010 -6.203 1.460
Ho -8.623 -10.006 3.220
Ho -12.334 -11.408 -0.916
Ho -9.549 -9.456 -2.059
Ho -5.606 -7.878 3.363
Ho -9.547 -3.452 1.315
Ho -6.683 -7.238 -2.781
Ho -11.698 -11.786 2.716
Ho -14.028 -9.169 1.505
Bi -8.998 -6.718 2.799
Bi -7.279 -8.990 0.341
Bi -10.977 -9.334 0.953
Bi -9.645 -6.334 -0.889


Entry 6:
20
Lattice="8.302 0.000 -2.935 -4.151 7.190 -2.935 0.000 0.000 8.806" Properties=species:S:1:pos:R:3 comment="Ho3Ag3Bi4 PBE-GGA optimized geometry" energy_ev_per_atom=-4.21 e_form_ev_per_atom=-0.43 density_g_cm3=10.5 spacegroup="No. 220" crystal_system=cubic pbc="T T T"
Bi 0.751 5.890 0.531
Bi 0.000 0.000 2.810
Bi -1.325 4.895 3.466
Bi 4.725 3.595 -3.872
Bi 4.902 1.300 -0.937
Bi 2.826 2.295 1.999
Bi 0.000 0.000 7.213
Bi 0.574 3.595 -2.404
Ho 6.227 1.798 2.202
Ho -1.557 6.291 -2.202
Ho 2.595 0.899 5.137
Ho -0.519 2.696 0.734
Ho 3.632 4.494 -0.734
Ho 2.076 5.393 3.669
Ag 2.076 1.798 -0.734
Ag 1.557 6.291 -2.202
Ag 5.708 0.899 5.137
Ag 4.670 4.494 2.202
Ag -2.076 5.393 0.734
Ag 0.519 2.696 3.669